[1]
First-principles (SCAN) data for a PBEsol-optimized structure of CuNi2Rh, as listed in Alexandria via LeMat-Bulk.

Values from the calculation:
ρ   10.2 Mg/m³
Calculated total energy   -20.285 eV per atom
N(E_F)   3.0 states/eV/f.u.

Cell lengths 2.565, 4.359, 4.383 Å; angles 100.34, 107.01, 90.00 degrees
Each line ends with the local moment (μB).
Atoms (fractional coordinates):
Rh1 0.503 0.509 0.005  0.59
Cu1 0.748 0.238 0.495  0.06
Ni1 0.998 0.004 0.996  0.68
Ni2 0.252 0.749 0.504  0.87

=====

[2]
First-principles (SCAN) data for a PBEsol-optimized structure of YMgCu, as listed in Alexandria via LeMat-Bulk.

Values from the calculation:
Energy relative to the lowest polymorph listed for this composition   65 meV/atom
ρ   4.6 Mg/m³
N(E_F)   2.2 states/eV/f.u.

Cell lengths 5.784, 6.566, 7.515 Å; angles 90.00, 90.00, 116.13 degrees
Atoms (fractional coordinates):
Mg1 0.308 0.115 0.750
Mg2 0.692 0.885 0.250
Mg3 0.192 0.885 0.250
Mg4 0.808 0.115 0.750
Y1 0.685 0.370 0.102
Y2 0.315 0.630 0.898
Y3 0.185 0.370 0.398
Y4 0.815 0.630 0.602
Cu1 0.597 0.194 0.450
Cu2 0.903 0.806 0.950
Cu3 0.403 0.806 0.550
Cu4 0.097 0.194 0.050

=====

[3]
First-principles (SCAN) data for a PBEsol-optimized structure of CrFe2Tc, as listed in Alexandria via LeMat-Bulk.

Values from the calculation:
ρ   9.2 Mg/m³
Calculated total energy   -22.387 eV per atom
N(E_F)   2.7 states/eV/f.u.

Cell lengths 2.474, 4.042, 4.775 Å; angles 90.00, 99.02, 90.00 degrees
Each line ends with the local moment (μB).
Atoms (fractional coordinates):
Cr1 0.257 0.500 0.760  -0.65
Fe1 0.994 0.000 0.002  2.56
Fe2 0.767 0.500 0.239  2.62
Tc1 0.482 0.000 0.499  0.02

=====

[4]
First-principles (SCAN) data for a PBEsol-optimized structure of Na2CaAu2, as listed in Alexandria via LeMat-Bulk.

Values from the calculation:
ρ   6.7 Mg/m³
Calculated total energy   -31.817 eV per atom
N(E_F)   2.0 states/eV/f.u.

Cell lengths 4.128, 4.128, 7.561 Å; angles 105.84, 105.84, 90.00 degrees
Atoms (fractional coordinates):
Au1 0.404 0.404 0.809
Au2 0.596 0.596 0.191
Ca1 0.000 0.000 0.000
Na1 0.250 0.750 0.500
Na2 0.750 0.250 0.500

=====

[5]
First-principles (SCAN) data for a PBEsol-optimized structure of TePBr2, as listed in Alexandria via LeMat-Bulk.

Values from the calculation:
Energy relative to the lowest polymorph listed for this composition   162 meV/atom
ρ   4.6 Mg/m³
N(E_F)   2.7 states/eV/f.u.

Cell lengths 3.365, 5.522, 6.759 Å; angles 114.11, 90.00, 90.00 degrees
Atoms (fractional coordinates):
Br1 0.000 0.349 0.697
Br2 0.000 0.651 0.303
Te1 0.500 0.000 0.000
P1 0.500 0.500 0.000

=====

[6]
First-principles (SCAN) data for a PBEsol-optimized structure of BaYIN2, as listed in Alexandria via LeMat-Bulk.

Values from the calculation:
ρ   5.1 Mg/m³
Calculated total energy   -24.958 eV per atom
N(E_F)   1.3 states/eV/f.u.

Cell lengths 4.595, 4.595, 5.831 Å; angles 90.00, 90.00, 90.00 degrees
Each line ends with the local moment (μB).
Atoms (fractional coordinates):
I1 0.000 0.000 0.500  -0.01
N1 0.000 0.500 0.000  0.74
N2 0.500 0.000 0.000  0.74
Y1 0.000 0.000 0.000  0.05
Ba1 0.500 0.500 0.500  -0.03

=====

[7]
First-principles (SCAN) data for a PBEsol-optimized structure of LiZrNi2, as listed in Alexandria via LeMat-Bulk.

Values from the calculation:
ρ   6.6 Mg/m³
Calculated total energy   -16.336 eV per atom
N(E_F)   2.8 states/eV/f.u.

Cell lengths 2.743, 3.804, 5.167 Å; angles 90.00, 90.00, 90.00 degrees
Atoms (fractional coordinates):
Ni1 0.500 0.500 0.240
Ni2 0.000 0.000 0.984
Li1 0.500 0.500 0.799
Zr1 0.000 0.000 0.477

=====

[8]
First-principles (SCAN) data for a PBEsol-optimized structure of LiCa2MnPt, as listed in Alexandria via LeMat-Bulk.

Values from the calculation:
ρ   3.8 Mg/m³
Calculated total energy   -22.366 eV per atom
N(E_F)   2.3 states/eV/f.u.

Cell lengths 4.892, 5.492, 5.492 Å; angles 90.00, 90.00, 90.00 degrees
Each line ends with the local moment (μB).
Atoms (fractional coordinates):
Ca1 0.000 0.000 0.500  -0.02
Ca2 0.000 0.500 0.000  -0.02
Li1 0.500 0.500 0.500  -0.01
Pt1 0.000 0.000 0.000  0.14
Mn1 0.500 0.000 0.000  4.36

=====

[9]
First-principles (SCAN) data for a PBEsol-optimized structure of MnCoW2, as listed in Alexandria via LeMat-Bulk.

Values from the calculation:
Energy relative to the lowest polymorph listed for this composition   174 meV/atom
ρ   15.0 Mg/m³
N(E_F)   4.1 states/eV/f.u.

Cell lengths 2.651, 4.532, 4.716 Å; angles 99.09, 90.00, 107.01 degrees
Each line ends with the local moment (μB).
Atoms (fractional coordinates):
Co1 0.000 0.000 0.500  -1.15
W1 0.257 0.513 0.254  -0.14
W2 0.743 0.487 0.746  -0.14
Mn1 0.500 0.000 0.000  2.87

=====

[10]
First-principles (SCAN) data for a PBEsol-optimized structure of Mn3ReCl, as listed in Alexandria via LeMat-Bulk.

Values from the calculation:
ρ   6.3 Mg/m³
Calculated total energy   -25.912 eV per atom
N(E_F)   3.4 states/eV/f.u.

Cell lengths 4.680, 4.680, 4.680 Å; angles 90.00, 90.00, 90.00 degrees
Each line ends with the local moment (μB).
Atoms (fractional coordinates):
Mn1 0.000 0.500 0.000  3.83
Mn2 0.500 0.000 0.000  3.83
Mn3 0.000 0.000 0.500  3.83
Re1 0.000 0.000 0.000  -0.80
Cl1 0.500 0.500 0.500  0.12

=====

[11]
First-principles (SCAN) data for a PBEsol-optimized structure of AlIr2Se, as listed in Alexandria via LeMat-Bulk.

Values from the calculation:
Energy relative to the lowest polymorph listed for this composition   294 meV/atom
ρ   13.3 Mg/m³
N(E_F)   2.9 states/eV/f.u.

Cell lengths 2.991, 2.991, 8.083 Å; angles 79.34, 79.34, 60.00 degrees
Atoms (fractional coordinates):
Al1 0.254 0.254 0.239
Ir1 0.754 0.754 0.738
Ir2 0.995 0.995 0.014
Se1 0.497 0.497 0.509

=====

[12]
First-principles (SCAN) data for a PBEsol-optimized structure of La7Zn, as listed in Alexandria via LeMat-Bulk.

Values from the calculation:
ρ   7.0 Mg/m³
Calculated total energy   -39.435 eV per atom
N(E_F)   8.4 states/eV/f.u.

Cell lengths 7.030, 7.030, 7.030 Å; angles 60.00, 60.00, 60.00 degrees
Atoms (fractional coordinates):
La1 0.000 0.500 0.500
La2 0.500 0.500 0.000
La3 0.500 0.500 0.500
La4 0.500 0.000 0.000
La5 0.500 0.000 0.500
La6 0.000 0.000 0.500
La7 0.000 0.500 0.000
Zn1 0.000 0.000 0.000

=====

[13]
First-principles (SCAN) data for a PBEsol-optimized structure of Li7Fe3W2O16, as listed in Alexandria via LeMat-Bulk.

Values from the calculation:
ρ   5.2 Mg/m³
Calculated total energy   -13.085 eV per atom
N(E_F)   4.3 states/eV/f.u.

Cell lengths 5.649, 5.784, 9.412 Å; angles 91.33, 90.00, 119.23 degrees
Each line ends with the local moment (μB).
Atoms (fractional coordinates):
O1 0.017 0.035 0.297  0.25
O2 0.844 0.192 0.093  0.01
O3 0.661 0.834 0.594  0.01
O4 0.493 0.448 0.840  0.10
O5 0.651 0.302 0.610  0.17
O6 0.035 0.496 0.353  -0.01
O7 0.835 0.670 0.067  0.00
O8 0.461 0.496 0.353  -0.01
O9 0.008 0.016 0.802  0.12
O10 0.954 0.448 0.840  0.10
O11 0.173 0.834 0.594  0.01
O12 0.486 0.972 0.357  0.02
O13 0.314 0.629 0.115  0.29
O14 0.349 0.192 0.093  0.01
O15 0.516 0.032 0.836  0.00
O16 0.158 0.317 0.611  0.08
Li1 0.829 0.658 0.711  0.00
Li2 0.327 0.654 0.908  0.00
Li3 0.008 0.016 0.996  0.00
Li4 0.667 0.333 0.406  0.00
Li5 0.665 0.839 0.210  0.00
Li6 0.174 0.839 0.210  0.00
Li7 0.001 0.001 0.486  0.01
Fe1 0.832 0.172 0.716  1.79
Fe2 0.174 0.349 0.223  2.00
Fe3 0.340 0.172 0.716  1.79
W1 0.672 0.343 0.995  -0.01
W2 0.354 0.708 0.478  0.00

=====

[14]
First-principles (SCAN) data for a PBEsol-optimized structure of SrAgSb, as listed in Alexandria via LeMat-Bulk.

Values from the calculation:
ρ   6.5 Mg/m³
Calculated total energy   -30.721 eV per atom
N(E_F)   0.2 states/eV/f.u.

Cell lengths 5.385, 5.385, 6.440 Å; angles 90.00, 90.00, 120.00 degrees
Atoms (fractional coordinates):
Sr1 0.333 0.667 0.250
Sr2 0.667 0.333 0.750
Ag1 0.000 0.000 0.500
Ag2 0.000 0.000 0.000
Sb1 0.667 0.333 0.250
Sb2 0.333 0.667 0.750

=====

[15]
First-principles (SCAN) data for a PBEsol-optimized structure of RbSnP2, as listed in Alexandria via LeMat-Bulk.

Values from the calculation:
ρ   3.9 Mg/m³
Calculated total energy   -19.367 eV per atom
N(E_F)   1.5 states/eV/f.u.

Cell lengths 6.663, 6.663, 6.663 Å; angles 108.96, 109.73, 109.73 degrees
Each line ends with the local moment (μB).
Atoms (fractional coordinates):
Sn1 0.500 0.750 0.250  -0.02
Sn2 0.000 0.000 0.000  -0.02
Rb1 0.500 0.250 0.750  0.01
Rb2 0.000 0.500 0.500  0.01
P1 0.579 0.875 0.954  0.20
P2 0.079 0.704 0.125  0.20
P3 0.421 0.375 0.296  0.20
P4 0.921 0.046 0.625  0.20

=====

[16]
First-principles (SCAN) data for a PBEsol-optimized structure of FeMoPt2, as listed in Alexandria via LeMat-Bulk.

Values from the calculation:
ρ   16.0 Mg/m³
Calculated total energy   -48.717 eV per atom
N(E_F)   2.5 states/eV/f.u.

Cell lengths 2.692, 4.368, 4.797 Å; angles 90.00, 90.00, 90.00 degrees
Each line ends with the local moment (μB).
Atoms (fractional coordinates):
Mo1 0.500 0.500 0.217  -0.30
Pt1 0.000 0.500 0.703  0.12
Pt2 0.000 0.000 0.043  0.08
Fe1 0.500 0.000 0.537  3.10

=====

[17]
First-principles (SCAN) data for a PBEsol-optimized structure of CrMoPb2, as listed in Alexandria via LeMat-Bulk.

Values from the calculation:
ρ   11.6 Mg/m³
Calculated total energy   -50.568 eV per atom
N(E_F)   2.2 states/eV/f.u.

Cell lengths 3.142, 5.231, 5.497 Å; angles 111.03, 106.61, 90.00 degrees
Each line ends with the local moment (μB).
Atoms (fractional coordinates):
Pb1 0.980 0.947 0.961  0.00
Pb2 0.772 0.309 0.543  -0.01
Cr1 0.547 0.493 0.094  2.17
Mo1 0.201 0.750 0.402  -1.20

=====

[18]
First-principles (SCAN) data for a PBEsol-optimized structure of Ba4NaGe3S10Cl, as listed in Alexandria via LeMat-Bulk.

Values from the calculation:
ρ   3.8 Mg/m³
Calculated total energy   -18.545 eV per atom
N(E_F)   0.0 states/eV/f.u.

Cell lengths 9.779, 9.779, 12.120 Å; angles 90.00, 90.00, 120.00 degrees
Atoms (fractional coordinates):
S1 0.547 0.658 0.138
S2 0.342 0.888 0.138
S3 0.691 0.753 0.609
S4 0.418 0.089 0.881
S5 0.671 0.582 0.881
S6 0.062 0.309 0.609
S7 0.309 0.247 0.109
S8 0.667 0.333 0.298
S9 0.911 0.329 0.881
S10 0.938 0.691 0.109
S11 0.888 0.547 0.638
S12 0.333 0.667 0.798
S13 0.089 0.671 0.381
S14 0.582 0.911 0.381
S15 0.329 0.418 0.381
S16 0.453 0.342 0.638
S17 0.247 0.938 0.609
S18 0.112 0.453 0.138
S19 0.658 0.112 0.638
S20 0.753 0.062 0.109
Ba1 0.350 0.087 0.365
Ba2 0.333 0.667 0.554
Ba3 0.087 0.736 0.865
Ba4 0.650 0.913 0.865
Ba5 0.667 0.333 0.054
Ba6 0.736 0.650 0.365
Ba7 0.913 0.264 0.365
Ba8 0.264 0.350 0.865
Ge1 0.881 0.326 0.704
Ge2 0.119 0.674 0.204
Ge3 0.556 0.881 0.204
Ge4 0.444 0.119 0.704
Ge5 0.326 0.444 0.204
Ge6 0.674 0.556 0.704
Na1 0.000 0.000 0.114
Na2 0.000 0.000 0.614
Cl1 0.000 0.000 0.851
Cl2 0.000 0.000 0.351

=====

[19]
First-principles (SCAN) data for a PBEsol-optimized structure of BeCN2, as listed in Alexandria via LeMat-Bulk.

Values from the calculation:
ρ   2.5 Mg/m³
Calculated total energy   -8.574 eV per atom
N(E_F)   0.0 states/eV/f.u.

Cell lengths 2.893, 2.893, 4.732 Å; angles 72.20, 72.20, 60.00 degrees
Atoms (fractional coordinates):
N1 0.908 0.908 0.277
N2 0.092 0.092 0.723
C1 0.000 0.000 0.000
Be1 0.500 0.500 0.500

=====

[20]
First-principles (SCAN) data for a PBEsol-optimized structure of HoSi2Ir2, as listed in Alexandria via LeMat-Bulk.

Values from the calculation:
ρ   12.5 Mg/m³
Calculated total energy   -43.476 eV per atom
N(E_F)   1.6 states/eV/f.u.

Cell lengths 4.036, 4.036, 5.696 Å; angles 110.75, 110.75, 90.00 degrees
Atoms (fractional coordinates):
Ho1 0.000 0.000 0.000
Si1 0.379 0.379 0.759
Si2 0.621 0.621 0.241
Ir1 0.750 0.250 0.500
Ir2 0.250 0.750 0.500

=====

Taking the records one at a time from the top gives magnetization values of 2.00, 0.00, 4.49, 0.00, 0.00, 2.00, 0.00, 4.63, 1.51, 11.39, 0.00, 0.00, 7.00, 0.00, 1.67, 2.92, 1.03, 0.00, 0.00, 0.00 Bohr magnetons per cell.